1.
4
Lattice="-2.907 0.429 10.569 -5.217 -1.542 9.527 -2.352 -2.726 10.363" Properties=species:S:1:pos:R:3 comment="Ca2CdW | Alexandria via LeMat-Bulk | PBE | relaxed" m_tot_mub_per_atom=0.00 final_energy_ev_per_fu=-15.40 delta_e_f_mev_per_atom=617 pbc="T T T"
W -7.857 -2.879 22.844
Ca -5.166 -1.893 15.020
Cd -2.619 -0.960 7.615
Ca -0.072 -0.026 0.209



2.
12
Lattice="7.068 -0.012 -1.985 -5.303 10.183 -5.333 -0.297 -1.538 12.562" Properties=species:S:1:pos:R:3 comment="Cs5RbNa6 | Alexandria via LeMat-Bulk | PBE | relaxed" m_tot_mub_per_atom=0.00 final_energy_ev_per_fu=-12.80 delta_e_f_mev_per_atom=29 pbc="T T T"
Na -0.457 3.927 -1.674
Na 1.167 0.126 4.130
Na -2.387 6.726 5.073
Na 3.855 1.906 0.170
Cs -1.989 2.423 6.513
Na 0.302 8.507 1.113
Cs -0.896 8.133 -3.206
Cs -3.611 6.221 0.715
Na 1.926 4.705 6.917
Cs 0.734 4.316 2.622
Cs 2.364 0.500 8.449
Rb 0.000 0.000 0.000